Entry 1:
## BaHfO2 (GGA-PBE)

Data for a relaxed BaHfO2 crystal.

Cell and atoms, written as CIF:
```
data_BaHfO2
_chemical_formula_sum 'Ba4 Hf4 O8'
_symmetry_space_group_name_H-M 'F m -3 m'
_symmetry_Int_Tables_number 225
_symmetry_space_group_name_Hall '-F 4 2 3'
_cell_length_a 6.1825
_cell_length_b 6.1825
_cell_length_c 6.1825
_cell_angle_alpha 90.00
_cell_angle_beta 90.00
_cell_angle_gamma 90.00
loop_
_atom_site_label
_atom_site_type_symbol
_atom_site_fract_x
_atom_site_fract_y
_atom_site_fract_z
Ba1 Ba 0.0000 0.0000 0.0000
Hf1 Hf 0.0000 0.0000 0.5000
O1 O 0.2500 0.2500 0.2500
```

formation energy without anion corrections = -1.235 eV/atom
energy relative to the lowest polymorph listed for this composition = 1.077 eV per atom

Entry 2:
## Ac2AgGeS5 (GGA-PBE)

Data for a relaxed Ac2AgGeS5 crystal.

Cell and atoms, written as CIF:
```
data_Ac2AgGeS5
_chemical_formula_sum 'Ac8 Ag4 Ge4 S20'
_symmetry_space_group_name_H-M 'C m c 21'
_symmetry_Int_Tables_number 36
_symmetry_space_group_name_Hall 'C 2c -2'
_cell_length_a 4.3115
_cell_length_b 17.4113
_cell_length_c 11.5038
_cell_angle_alpha 90.00
_cell_angle_beta 90.00
_cell_angle_gamma 90.00
loop_
_atom_site_label
_atom_site_type_symbol
_atom_site_fract_x
_atom_site_fract_y
_atom_site_fract_z
Ac1 Ac 0.0000 0.1235 0.0000
Ac2 Ac 0.0000 0.1276 0.6196
Ag1 Ag 0.0000 0.2240 0.3502
Ge1 Ge 0.0000 0.4335 0.7708
S1 S 0.0000 0.0432 0.3507
S2 S 0.0000 0.2961 0.9866
S3 S 0.0000 0.3163 0.6717
S4 S 0.0000 0.3670 0.3134
S5 S 0.0000 0.4970 0.5897
```

formation energy without anion corrections = -1.288 eV/atom

Entry 3:
## NaTaBr3 (GGA-PBE)

Data for a relaxed NaTaBr3 crystal.

Cell and atoms, written as CIF:
```
data_NaTaBr3
_chemical_formula_sum 'Na1 Ta1 Br3'
_symmetry_space_group_name_H-M 'P m -3 m'
_symmetry_Int_Tables_number 221
_symmetry_space_group_name_Hall '-P 4 2 3'
_cell_length_a 5.3912
_cell_length_b 5.3912
_cell_length_c 5.3912
_cell_angle_alpha 90.00
_cell_angle_beta 90.00
_cell_angle_gamma 90.00
loop_
_atom_site_label
_atom_site_type_symbol
_atom_site_fract_x
_atom_site_fract_y
_atom_site_fract_z
Na1 Na 0.0000 0.0000 0.0000
Ta1 Ta 0.5000 0.5000 0.5000
Br1 Br 0.0000 0.5000 0.5000
```

formation energy without anion corrections = -0.374 eV/atom
energy relative to the lowest polymorph listed for this composition = 0.000 eV per atom

Entry 4:
## KSb2F (GGA-PBE)

Data for a relaxed KSb2F crystal.

Cell and atoms, written as CIF:
```
data_KSb2F
_chemical_formula_sum 'K4 Sb8 F4'
_symmetry_space_group_name_H-M 'I -4 2 d'
_symmetry_Int_Tables_number 122
_symmetry_space_group_name_Hall 'I -4 2bw'
_cell_length_a 5.8074
_cell_length_b 5.8074
_cell_length_c 16.8698
_cell_angle_alpha 90.00
_cell_angle_beta 90.00
_cell_angle_gamma 90.00
loop_
_atom_site_label
_atom_site_type_symbol
_atom_site_fract_x
_atom_site_fract_y
_atom_site_fract_z
K1 K 0.0000 0.0000 0.0000
Sb1 Sb 0.0013 0.2500 0.6250
F1 F 0.0000 0.0000 0.5000
```

formation energy without anion corrections = -0.560 eV/atom
energy relative to the lowest polymorph listed for this composition = 0.000 eV per atom

Entry 5:
## TlIr2Au (GGA-PBE)

Data for a relaxed TlIr2Au crystal.

Cell and atoms, written as CIF:
```
data_TlIr2Au
_chemical_formula_sum 'Tl4 Ir8 Au4'
_symmetry_space_group_name_H-M 'I -4 2 d'
_symmetry_Int_Tables_number 122
_symmetry_space_group_name_Hall 'I -4 2bw'
_cell_length_a 4.0448
_cell_length_b 4.0448
_cell_length_c 19.3880
_cell_angle_alpha 90.00
_cell_angle_beta 90.00
_cell_angle_gamma 90.00
loop_
_atom_site_label
_atom_site_type_symbol
_atom_site_fract_x
_atom_site_fract_y
_atom_site_fract_z
Tl1 Tl 0.0000 0.0000 0.0000
Ir1 Ir 0.1820 0.2500 0.6250
Au1 Au 0.0000 0.0000 0.5000
```

formation energy = 0.716 eV/atom
energy relative to the lowest polymorph listed for this composition = 0.330 eV per atom

Entry 6:
## Ca3VBr (GGA-PBE)

Data for a relaxed Ca3VBr crystal.

Cell and atoms, written as CIF:
```
data_Ca3VBr
_chemical_formula_sum 'Ca3 V1 Br1'
_symmetry_space_group_name_H-M 'P m -3 m'
_symmetry_Int_Tables_number 221
_symmetry_space_group_name_Hall '-P 4 2 3'
_cell_length_a 5.9000
_cell_length_b 5.9000
_cell_length_c 5.9000
_cell_angle_alpha 90.00
_cell_angle_beta 90.00
_cell_angle_gamma 90.00
loop_
_atom_site_label
_atom_site_type_symbol
_atom_site_fract_x
_atom_site_fract_y
_atom_site_fract_z
Ca1 Ca 0.0000 0.0000 0.5000
V1 V 0.0000 0.0000 0.0000
Br1 Br 0.5000 0.5000 0.5000
```

formation energy without anion corrections = 0.302 eV/atom
energy relative to the lowest polymorph listed for this composition = 0.131 eV per atom

Per-record final energy, eV per atom: -6.6835; -5.3243; -4.0121; -3.3639; -5.1258; -3.0575
Per-record DOS(E_F), states/eV/atom: 0.536; 0.146; 0.621; 0.507; 1.390; 0.836